Compound: Li2Ti2VO6
Source: Alexandria
Functional: GGA+U
Structure: optimized geometry

```
Li2Ti2VO6
1.0
6.681 0.002 0.006
0.815 6.737 0.009
2.803 2.462 7.676
Li O Ti V
6 18 6 3
direct
0.325 0.005 0.173
0.326 0.675 0.506
0.675 0.995 0.827
0.005 0.661 0.836
0.674 0.325 0.494
0.995 0.339 0.164
0.649 0.981 0.579
0.345 0.695 0.752
0.675 0.351 0.757
0.660 0.684 0.433
0.029 0.668 0.075
0.017 0.345 0.411
0.662 0.026 0.090
0.655 0.305 0.248
0.983 0.999 0.247
0.325 0.649 0.243
0.017 0.001 0.753
0.338 0.974 0.910
0.348 0.352 0.096
0.652 0.648 0.904
0.983 0.655 0.589
0.971 0.332 0.925
0.351 0.019 0.421
0.340 0.316 0.567
0.317 0.335 0.340
0.674 0.331 0.994
0.681 0.997 0.327
0.683 0.665 0.660
0.319 0.003 0.673
0.326 0.669 0.006
0.006 0.329 0.666
0.000 0.000 0.000
0.994 0.671 0.334
```

Values from the calculation:
ρ, g/cm³: 3.70
Crystal system: triclinic
Total energy, eV per atom: -7.701
M_tot, μB/cell: 9.054
E above lowest polymorph, kJ/mol of formula units: 0
Symmetry: P-1